Record 1
KTlInBr3 | GGA-PBE | optimized geometry

Cell lengths 4.628, 9.738, 10.792 Å; angles 89.15, 90.00, 90.00 degrees
Fractional positions:
1 Br 0.750 0.364 0.133
2 Br 0.250 0.109 0.824
3 Tl 0.750 0.400 0.827
4 K 0.250 0.132 0.138
5 K 0.750 0.868 0.862
6 In 0.750 0.871 0.460
7 In 0.250 0.129 0.540
8 Br 0.750 0.891 0.176
9 Tl 0.250 0.600 0.173
10 Br 0.250 0.636 0.867
11 Br 0.750 0.317 0.532
12 Br 0.250 0.683 0.468

total magnetization	0.000	μB/cell
volume	40.5	Å³ per atom
total DFT energy (no corrections)	-2.898	eV/atom
formation energy (no corrections)	-23.70	kcal/mol of atoms


Record 2
K3TlIn2Br6 | GGA-PBE | optimized geometry

Cell lengths 4.743, 9.487, 10.610 Å; angles 102.93, 102.92, 90.00 degrees
Fractional positions:
1 Br 0.666 0.584 0.333
2 Tl 0.500 0.000 0.000
3 Br 0.334 0.416 0.667
4 K 0.833 0.167 0.666
5 Br 0.999 0.253 0.998
6 Br 0.668 0.082 0.336
7 In 0.833 0.667 0.666
8 In 0.167 0.333 0.334
9 Br 0.332 0.918 0.664
10 Br 0.001 0.747 0.002
11 K 0.167 0.833 0.334
12 K 0.500 0.500 0.000

total magnetization	0.000	μB/cell
volume	37.7	Å³ per atom
total DFT energy (no corrections)	-2.995	eV/atom
formation energy (no corrections)	-28.38	kcal/mol of atoms


Record 3
KTl2InBr5 | GGA-PBE | optimized geometry

Cell lengths 5.124, 9.995, 13.330 Å; angles 90.00, 90.00, 104.85 degrees
Fractional positions:
1 Br 0.519 0.038 0.261
2 Br 0.963 0.926 0.519
3 Br 0.329 0.658 0.367
4 Br 0.284 0.568 0.683
5 Br 0.481 0.962 0.761
6 Br 0.671 0.342 0.867
7 Tl 0.151 0.302 0.320
8 Tl 0.881 0.761 0.192
9 In 0.475 0.949 0.451
10 K 0.209 0.417 0.019
11 Br 0.037 0.074 0.019
12 Br 0.716 0.432 0.183
13 Tl 0.119 0.239 0.692
14 Br 0.626 0.251 0.512
15 In 0.525 0.051 0.951
16 Tl 0.849 0.698 0.820
17 K 0.791 0.583 0.519
18 Br 0.374 0.749 0.012

total magnetization	0.000	μB/cell
volume	36.7	Å³ per atom
total DFT energy (no corrections)	-2.860	eV/atom
formation energy (no corrections)	-22.56	kcal/mol of atoms


Record 4
K2UInBr6 | GGA-PBE | optimized geometry

Cell lengths 8.230, 8.412, 8.218 Å; angles 120.78, 118.74, 90.00 degrees
Site moments in Bohr magnetons follow the coordinates.
Fractional positions:
1 Br 0.846 0.819 0.155  -0.01
2 Br 0.635 0.273 0.546  -0.01
3 K 0.212 0.249 0.498  0.00
4 Br 0.154 0.181 0.845  -0.01
5 Br 0.846 0.336 0.155  -0.01
6 Br 0.154 0.664 0.845  -0.01
7 K 0.788 0.751 0.502  0.00
8 In 0.500 0.000 0.000  0.00
9 U 0.000 0.500 0.000  2.92
10 Br 0.365 0.727 0.454  -0.01

total magnetization	3.000	μB/cell
volume	40.5	Å³ per atom
total DFT energy (no corrections)	-3.967	eV/atom
formation energy (no corrections)	-30.93	kcal/mol of atoms


Record 5
KUInBr6 | GGA-PBE | optimized geometry

Cell lengths 8.040, 8.040, 13.461 Å; angles 90.00, 90.00, 120.00 degrees
Site moments in Bohr magnetons follow the coordinates.
Fractional positions:
1 Br 0.046 0.383 0.631  -0.03
2 In 0.333 0.667 0.250  -0.01
3 U 0.333 0.667 0.750  2.12
4 Br 0.617 0.954 0.869  -0.03
5 Br 0.954 0.617 0.369  -0.03
6 Br 0.383 0.337 0.369  -0.03
7 In 0.667 0.333 0.750  -0.01
8 Br 0.617 0.663 0.631  -0.03
9 Br 0.663 0.617 0.131  -0.03
10 Br 0.337 0.954 0.631  -0.03
11 K 0.000 0.000 0.000  0.00
12 Br 0.954 0.337 0.131  -0.03
13 Br 0.663 0.046 0.369  -0.03
14 K 0.000 0.000 0.500  0.00
15 Br 0.337 0.383 0.869  -0.03
16 Br 0.046 0.663 0.869  -0.03
17 Br 0.383 0.046 0.131  -0.03
18 U 0.667 0.333 0.250  2.12

total magnetization	4.000	μB/cell
volume	41.9	Å³ per atom
total DFT energy (no corrections)	-4.086	eV/atom
formation energy (no corrections)	-29.76	kcal/mol of atoms


Record 6
K2VInBr | GGA-PBE | optimized geometry

Cell lengths 6.829, 5.836, 6.829 Å; angles 90.00, 90.00, 90.00 degrees
Site moments in Bohr magnetons follow the coordinates.
Fractional positions:
1 K 0.500 0.000 0.000  0.00
2 Br 0.000 0.500 0.000  0.00
3 V 0.500 0.500 0.500  3.30
4 In 0.000 0.000 0.000  -0.04
5 K 0.000 0.000 0.500  0.00

total magnetization	4.265	μB/cell
volume	54.4	Å³ per atom
total DFT energy (no corrections)	-2.470	eV/atom
formation energy (no corrections)	15.57	kcal/mol of atoms


Record 7
KVIn2Br6 | GGA-PBE | optimized geometry

Cell lengths 7.333, 8.482, 10.880 Å; angles 90.00, 86.56, 90.00 degrees
Site moments in Bohr magnetons follow the coordinates.
Fractional positions:
1 Br 0.654 0.247 0.585  -0.03
2 V 0.500 0.000 0.500  2.01
3 In 0.975 0.070 0.725  -0.02
4 In 0.475 0.430 0.225  -0.02
5 Br 0.793 0.841 0.530  -0.03
6 Br 0.124 0.424 0.782  -0.03
7 Br 0.346 0.753 0.415  -0.03
8 Br 0.876 0.576 0.218  -0.03
9 K 0.500 0.000 0.000  0.00
10 Br 0.154 0.253 0.085  -0.03
11 Br 0.376 0.924 0.718  -0.03
12 K 0.000 0.500 0.500  0.00
13 V 0.000 0.500 0.000  2.01
14 Br 0.293 0.659 0.030  -0.03
15 In 0.525 0.570 0.775  -0.02
16 In 0.025 0.930 0.275  -0.02
17 Br 0.207 0.159 0.470  -0.03
18 Br 0.846 0.747 0.915  -0.03
19 Br 0.707 0.341 0.970  -0.03
20 Br 0.624 0.076 0.282  -0.03

total magnetization	4.000	μB/cell
volume	33.8	Å³ per atom
total DFT energy (no corrections)	-3.521	eV/atom
formation energy (no corrections)	-21.85	kcal/mol of atoms


Record 8
KYIn2Br6 | GGA-PBE | optimized geometry

Cell lengths 8.125, 8.124, 8.380 Å; angles 60.95, 60.94, 59.89 degrees
Fractional positions:
1 Y 0.323 0.323 0.031
2 K 0.815 0.815 0.554
3 Br 0.673 0.126 0.774
4 In 0.019 0.019 0.944
5 In 0.525 0.525 0.426
6 Br 0.565 0.203 0.246
7 Br 0.203 0.986 0.246
8 Br 0.127 0.427 0.774
9 Br 0.427 0.672 0.774
10 Br 0.985 0.565 0.246

total magnetization	0.000	μB/cell
volume	39.6	Å³ per atom
total DFT energy (no corrections)	-3.684	eV/atom
formation energy (no corrections)	-31.74	kcal/mol of atoms


Record 9
KZnInBr4 | GGA-PBE | optimized geometry

Cell lengths 7.529, 7.539, 9.106 Å; angles 90.00, 108.14, 90.00 degrees
Fractional positions:
1 In 0.741 0.750 0.931
2 Br 0.992 0.999 0.762
3 Br 0.581 0.250 0.874
4 In 0.259 0.250 0.069
5 Zn 0.772 0.250 0.703
6 Br 0.419 0.750 0.126
7 Br 0.008 0.499 0.238
8 Br 0.598 0.250 0.430
9 K 0.224 0.250 0.556
10 K 0.776 0.750 0.444
11 Zn 0.228 0.750 0.297
12 Br 0.008 0.001 0.238
13 Br 0.402 0.750 0.570
14 Br 0.992 0.501 0.762

total magnetization	0.000	μB/cell
volume	35.1	Å³ per atom
total DFT energy (no corrections)	-2.767	eV/atom
formation energy (no corrections)	-24.92	kcal/mol of atoms


Record 10
KZrIn2Br8 | GGA-PBE | optimized geometry

Cell lengths 7.221, 6.793, 9.193 Å; angles 89.94, 89.99, 89.12 degrees
Fractional positions:
1 Br 0.142 0.765 0.795
2 Br 0.859 0.235 0.794
3 Br 0.358 0.287 0.500
4 Br 0.695 0.787 0.000
5 K 0.000 0.000 0.500
6 Zr 0.000 0.000 0.000
7 Br 0.141 0.765 0.206
8 In 0.500 0.500 0.252
9 Br 0.642 0.713 0.500
10 In 0.500 0.500 0.748
11 Br 0.858 0.235 0.205
12 Br 0.305 0.213 0.000

total magnetization	0.000	μB/cell
volume	37.6	Å³ per atom
total DFT energy (no corrections)	-3.480	eV/atom
formation energy (no corrections)	-25.47	kcal/mol of atoms


Record 11
K2ZrInBr6 | GGA-PBE | optimized geometry

Cell lengths 7.699, 7.699, 16.715 Å; angles 76.69, 76.69, 60.00 degrees
Site moments in Bohr magnetons follow the coordinates.
Fractional positions:
1 Br 0.803 0.803 0.098  0.00
2 K 0.687 0.687 0.940  0.00
3 In 0.583 0.583 0.251  0.01
4 K 0.313 0.313 0.060  0.00
5 Br 0.703 0.197 0.902  0.00
6 Br 0.369 0.863 0.400  0.00
7 Br 0.137 0.631 0.600  0.00
8 Br 0.631 0.631 0.600  0.00
9 Br 0.803 0.297 0.098  0.00
10 Br 0.197 0.703 0.902  0.00
11 K 0.146 0.146 0.561  0.00
12 K 0.854 0.854 0.439  0.00
13 Br 0.631 0.137 0.600  0.00
14 Br 0.369 0.369 0.400  0.00
15 Br 0.297 0.803 0.098  0.00
16 Zr 0.500 0.500 0.500  0.74
17 In 0.417 0.417 0.749  0.01
18 Br 0.863 0.369 0.400  0.00
19 Zr 0.000 0.000 0.000  0.61
20 Br 0.197 0.197 0.902  0.00

total magnetization	2.008	μB/cell
volume	41.4	Å³ per atom
total DFT energy (no corrections)	-3.653	eV/atom
formation energy (no corrections)	-30.00	kcal/mol of atoms


Record 12
LaInBr | GGA-PBE | optimized geometry

Cell lengths 5.216, 5.216, 3.954 Å; angles 90.00, 90.00, 120.00 degrees
Fractional positions:
1 La 0.333 0.667 0.833
2 In 0.667 0.333 0.333
3 Br 0.000 0.000 0.833

total magnetization	0.000	μB/cell
volume	31.1	Å³ per atom
total DFT energy (no corrections)	-3.808	eV/atom
formation energy (no corrections)	-16.02	kcal/mol of atoms


Record 13
La4In2Br | GGA-PBE | optimized geometry

Cell lengths 4.773, 6.688, 8.206 Å; angles 75.21, 73.09, 69.09 degrees
Fractional positions:
1 Br 0.000 0.000 0.000
2 La 0.089 0.206 0.616
3 In 0.627 0.416 0.330
4 La 0.911 0.794 0.384
5 La 0.678 0.729 0.914
6 La 0.322 0.271 0.086
7 In 0.373 0.584 0.670

total magnetization	0.002	μB/cell
volume	33.0	Å³ per atom
total DFT energy (no corrections)	-4.492	eV/atom
formation energy (no corrections)	-15.11	kcal/mol of atoms


Record 14
La3InBr | GGA-PBE | optimized geometry

Cell lengths 5.637, 5.637, 5.637 Å; angles 90.00, 90.00, 90.00 degrees
Fractional positions:
1 Br 0.000 0.000 0.000
2 La 0.000 0.000 0.500
3 La 0.000 0.500 0.000
4 La 0.500 0.000 0.000
5 In 0.500 0.500 0.500

total magnetization	0.000	μB/cell
volume	35.8	Å³ per atom
total DFT energy (no corrections)	-4.273	eV/atom
formation energy (no corrections)	-10.03	kcal/mol of atoms


Record 15
LaIn4Br | GGA-PBE | optimized geometry

Cell lengths 6.208, 6.208, 6.208 Å; angles 60.00, 60.00, 60.00 degrees
Fractional positions:
1 In 0.375 0.375 0.375
2 Br 0.000 0.000 0.000
3 In 0.874 0.375 0.375
4 In 0.375 0.874 0.375
5 In 0.375 0.375 0.874
6 La 0.750 0.750 0.750

total magnetization	0.000	μB/cell
volume	28.2	Å³ per atom
total DFT energy (no corrections)	-3.236	eV/atom
formation energy (no corrections)	-7.15	kcal/mol of atoms


Record 16
LaInBr4 | GGA-PBE | optimized geometry

Cell lengths 4.576, 9.825, 12.146 Å; angles 74.70, 79.14, 76.53 degrees
Fractional positions:
1 Br 0.666 0.216 0.953
2 Br 0.334 0.784 0.047
3 In 0.750 0.750 0.250
4 Br 0.548 0.072 0.332
5 Br 0.835 0.284 0.547
6 Br 0.165 0.716 0.453
7 In 0.250 0.250 0.750
8 La 0.500 0.500 0.000
9 La 0.000 0.000 0.500
10 Br 0.452 0.928 0.668
11 Br 0.952 0.428 0.168
12 Br 0.048 0.572 0.832

total magnetization	0.000	μB/cell
volume	42.3	Å³ per atom
total DFT energy (no corrections)	-3.920	eV/atom
formation energy (no corrections)	-35.23	kcal/mol of atoms


Record 17
La6InBr8 | GGA-PBE | optimized geometry

Cell lengths 7.415, 7.415, 11.920 Å; angles 71.88, 71.88, 60.00 degrees
Fractional positions:
1 Br 0.567 0.889 0.333
2 Br 0.111 0.788 0.667
3 In 0.000 0.000 0.000
4 La 0.055 0.397 0.834
5 La 0.287 0.945 0.166
6 La 0.397 0.713 0.834
7 Br 0.667 0.667 0.000
8 Br 0.788 0.433 0.667
9 Br 0.433 0.111 0.667
10 Br 0.333 0.333 0.000
11 La 0.945 0.603 0.166
12 La 0.603 0.287 0.166
13 La 0.713 0.055 0.834
14 Br 0.889 0.212 0.333
15 Br 0.212 0.567 0.333

total magnetization	0.000	μB/cell
volume	35.3	Å³ per atom
total DFT energy (no corrections)	-4.535	eV/atom
formation energy (no corrections)	-34.33	kcal/mol of atoms


Record 18
LaInBr | GGA-PBE | optimized geometry

Cell lengths 5.343, 5.343, 5.343 Å; angles 60.00, 60.00, 60.00 degrees
Fractional positions:
1 In 0.750 0.750 0.750
2 La 0.000 0.000 0.000
3 Br 0.500 0.500 0.500

total magnetization	0.001	μB/cell
volume	35.9	Å³ per atom
total DFT energy (no corrections)	-3.290	eV/atom
formation energy (no corrections)	-4.08	kcal/mol of atoms


Record 19
LaInBr | GGA-PBE | optimized geometry

Cell lengths 8.273, 8.273, 3.672 Å; angles 77.18, 77.18, 25.65 degrees
Fractional positions:
1 In 0.298 0.298 0.702
2 La 0.658 0.658 0.342
3 Br 0.043 0.043 0.957

total magnetization	0.005	μB/cell
volume	35.3	Å³ per atom
total DFT energy (no corrections)	-3.893	eV/atom
formation energy (no corrections)	-17.98	kcal/mol of atoms


Record 20
La2In2Br | GGA-PBE | optimized geometry

Cell lengths 9.198, 9.198, 3.843 Å; angles 90.00, 90.00, 90.00 degrees
Fractional positions:
1 Br 0.500 0.500 0.000
2 In 0.610 0.110 0.000
3 Br 0.000 0.000 0.000
4 La 0.687 0.813 0.500
5 La 0.313 0.187 0.500
6 La 0.187 0.687 0.500
7 La 0.813 0.313 0.500
8 In 0.890 0.610 0.000
9 In 0.390 0.890 0.000
10 In 0.110 0.390 0.000

total magnetization	0.000	μB/cell
volume	32.5	Å³ per atom
total DFT energy (no corrections)	-3.910	eV/atom
formation energy (no corrections)	-11.75	kcal/mol of atoms


Record 21
LaIn4Br7 | GGA-PBE | optimized geometry

Cell lengths 5.797, 7.808, 11.708 Å; angles 115.19, 104.33, 90.00 degrees
Fractional positions:
1 La 0.000 0.000 0.000
2 Br 0.924 0.220 0.848
3 Br 0.500 0.000 0.000
4 Br 0.124 0.356 0.248
5 Br 0.279 0.193 0.558
6 In 0.719 0.205 0.439
7 Br 0.076 0.780 0.152
8 In 0.582 0.536 0.163
9 In 0.281 0.795 0.561
10 In 0.418 0.464 0.837
11 Br 0.721 0.807 0.442
12 Br 0.876 0.644 0.752

total magnetization	0.000	μB/cell
volume	38.4	Å³ per atom
total DFT energy (no corrections)	-3.358	eV/atom
formation energy (no corrections)	-24.42	kcal/mol of atoms


Record 22
LaIn3Br | GGA-PBE | optimized geometry

Cell lengths 5.612, 5.612, 5.612 Å; angles 90.00, 90.00, 90.00 degrees
Fractional positions:
1 In 0.000 0.000 0.500
2 La 0.500 0.500 0.500
3 In 0.000 0.500 0.000
4 Br 0.000 0.000 0.000
5 In 0.500 0.000 0.000

total magnetization	0.000	μB/cell
volume	35.3	Å³ per atom
total DFT energy (no corrections)	-2.849	eV/atom
formation energy (no corrections)	2.64	kcal/mol of atoms